# 1
# PBE LiIrRu, relaxed
# Polymorph energy (0 for the lowest one) = 79 meV/atom
# E = -6.62 eV per atom
# N(E_F) = 11.1 states/eV/cell
# DFT formation energy = 0.06 eV/atom
data_LiIrRu
_space_group_name_H-M_alt 'I m m a'
_space_group_IT_number 74
_space_group_name_Hall '-I 2b 2'
_cell_length_a 4.414
_cell_length_b 4.978
_cell_length_c 7.319
_cell_angle_alpha 90.00
_cell_angle_beta 90.00
_cell_angle_gamma 90.00
loop_
_atom_site_label
_atom_site_fract_x
_atom_site_fract_y
_atom_site_fract_z
_atom_site_occupancy
Li1 0.000 0.250 0.177 1
Ir1 0.000 0.250 0.835 1
Ru1 0.000 0.000 0.500 1

# 2
# PBE NdZn2Ga, relaxed
# E = -2.89 eV per atom
# N(E_F) = 2.4 states/eV/cell
# DFT formation energy = -0.30 eV/atom
data_NdZn2Ga
_space_group_name_H-M_alt 'P 4/m m m'
_space_group_IT_number 123
_space_group_name_Hall '-P 4 2'
_cell_length_a 4.309
_cell_length_b 4.309
_cell_length_c 4.517
_cell_angle_alpha 90.00
_cell_angle_beta 90.00
_cell_angle_gamma 90.00
loop_
_atom_site_label
_atom_site_fract_x
_atom_site_fract_y
_atom_site_fract_z
_atom_site_occupancy
Nd1 0.000 0.000 0.000 1
Zn1 0.000 0.500 0.500 1
Ga1 0.500 0.500 0.000 1

The highest N(E_F) belongs to which entry?
LiIrRu